Entry 1:
# KUIr (PBE, relaxed)
data_KUIr
_chemical_formula_sum 'K4 U4 Ir4'
_cell_length_a 6.8536
_cell_length_b 6.8536
_cell_length_c 6.8536
_cell_angle_alpha 90.00
_cell_angle_beta 90.00
_cell_angle_gamma 90.00
_space_group_name_H-M_alt 'F -4 3 m'
_space_group_IT_number 216
_space_group_name_Hall 'F -4 2 3'
loop_
_atom_site_label
_atom_site_type_symbol
_atom_site_fract_x
_atom_site_fract_y
_atom_site_fract_z
_atom_site_occupancy
K1 K 0.0000 0.0000 0.0000 1
U1 U 0.0000 0.0000 0.5000 1
Ir1 Ir 0.2500 0.2500 0.7500 1
# Crystal system = cubic
# DFT total energy = -6.245 eV/atom



Entry 2:
# DyTmPd2 (PBE, relaxed)
data_DyTmPd2
_chemical_formula_sum 'Dy2 Tm2 Pd4'
_cell_length_a 5.6418
_cell_length_b 4.4614
_cell_length_c 6.8544
_cell_angle_alpha 90.00
_cell_angle_beta 90.54
_cell_angle_gamma 90.00
_space_group_name_H-M_alt 'P 1 21/m 1'
_space_group_IT_number 11
loop_
_space_group_symop_operation_xyz
'x,y,z'
'-x,-y,-z'
'-x,y+1/2,-z'
'x,-y+1/2,z'
loop_
_atom_site_label
_atom_site_type_symbol
_atom_site_fract_x
_atom_site_fract_y
_atom_site_fract_z
_atom_site_occupancy
Dy1 Dy 0.1438 0.2500 0.1827 1
Tm1 Tm 0.3586 0.2500 0.6812 1
Pd1 Pd 0.1574 0.7500 0.4621 1
Pd2 Pd 0.3461 0.7500 0.9543 1
# Formation enthalpy at 0 K = -0.943 eV per atom
# Crystal system = monoclinic
# DFT total energy = -5.800 eV/atom



Entry 3:
# KLuSO (PBE, relaxed)
data_KLuSO
_chemical_formula_sum 'K4 Lu4 S4 O4'
_cell_length_a 7.4992
_cell_length_b 7.1523
_cell_length_c 6.2414
_cell_angle_alpha 90.00
_cell_angle_beta 102.77
_cell_angle_gamma 90.00
_space_group_name_H-M_alt 'P 1 21/c 1'
_space_group_IT_number 14
loop_
_space_group_symop_operation_xyz
'x,y,z'
'-x,-y,-z'
'-x,y+1/2,-z+1/2'
'x,-y+1/2,z+1/2'
loop_
_atom_site_label
_atom_site_type_symbol
_atom_site_fract_x
_atom_site_fract_y
_atom_site_fract_z
_atom_site_occupancy
K1 K 0.0835 0.2391 0.0068 1
Lu1 Lu 0.4756 0.6261 0.2717 1
S1 S 0.2546 0.5932 0.8518 1
O1 O 0.3950 0.1468 0.8802 1
# Crystal system = monoclinic
# DFT total energy = -6.028 eV/atom



Entry 4:
# Pr2SmGe4Ir2Pd2 (PBE, relaxed)
data_Pr2SmGe4Ir2Pd2
_chemical_formula_sum 'Pr4 Sm2 Ge8 Ir4 Pd4'
_cell_length_a 4.1233
_cell_length_b 4.3200
_cell_length_c 25.4402
_cell_angle_alpha 90.00
_cell_angle_beta 90.00
_cell_angle_gamma 90.00
_space_group_name_H-M_alt 'I m m m'
_space_group_IT_number 71
_space_group_name_Hall '-I 2 2'
loop_
_atom_site_label
_atom_site_type_symbol
_atom_site_fract_x
_atom_site_fract_y
_atom_site_fract_z
_atom_site_occupancy
Pr1 Pr 0.0000 0.0000 0.1479 1
Sm1 Sm 0.0000 0.5000 0.0000 1
Ge1 Ge 0.0000 0.0000 0.3037 1
Ge2 Ge 0.0000 0.5000 0.4511 1
Ir1 Ir 0.0000 0.5000 0.2503 1
Pd1 Pd 0.0000 0.0000 0.4024 1
# Crystal system = orthorhombic
# DFT total energy = -6.405 eV/atom



Total moment
In order: 2.549 0.007 0.000 0.021
Unit: μB per formula unit